Record 1
The following is a DFT calculation (PBE-GGA) of a relaxed Sm3Cu7Ge4 crystal.

Values from the calculation:
* DFT total energy: -4.820 eV per atom
* E_form: -6.2 eV per formula unit

a b c (Å): 15.4438 4.2124 9.1203
angles (deg): 90.00 126.08 90.00
Space group C2/m (No. 12)
Asymmetric unit:
Sm1 0.0000 0.0000 0.0000 x2
Sm2 0.1958 0.5000 0.6993 x4
Cu1 0.0000 0.0000 0.5000 x2
Cu2 0.0028 0.5000 0.7016 x4
Cu3 0.1388 0.0000 0.8685 x4
Cu4 0.1677 0.5000 0.3158 x4
Ge1 0.1245 0.0000 0.4087 x4
Ge2 0.1587 0.5000 0.0303 x4



Record 2
The following is a DFT calculation (PBE-GGA) of a relaxed Sm2Cu4SnGe3 crystal.

Values from the calculation:
* DFT total energy: -4.840 eV per atom
* E_form: -4.7 eV per formula unit

a b c (Å): 4.2114 4.2114 10.3823
angles (deg): 90.00 90.00 90.00
Space group P-4m2 (No. 115)
Asymmetric unit:
Sm1 0.0000 0.5000 0.2331 x2
Cu1 0.0000 0.0000 0.0000 x1
Cu2 0.0000 0.5000 0.6461 x2
Cu3 0.5000 0.5000 0.0000 x1
Sn1 0.0000 0.0000 0.5000 x1
Ge1 0.0000 0.5000 0.8741 x2
Ge2 0.5000 0.5000 0.5000 x1



Record 3
The following is a DFT calculation (PBE-GGA) of a relaxed SrSm2Cu2Ge2 crystal.

Values from the calculation:
* DFT total energy: -4.537 eV per atom
* E_form: -3.2 eV per formula unit

a b c (Å): 4.4179 4.4179 29.3517
angles (deg): 90.00 90.00 120.00
Space group R-3m (No. 166, hexagonal axes)
Asymmetric unit:
Sr1 0.0000 0.0000 0.0000 x3
Sm1 0.0000 0.0000 0.1282 x6
Cu1 0.0000 0.0000 0.4090 x6
Ge1 0.0000 0.0000 0.2554 x6



Record 4
The following is a DFT calculation (PBE-GGA) of a relaxed TbSmCu2Ge2 crystal.

Values from the calculation:
* DFT total energy: -5.147 eV per atom
* E_form: -4.1 eV per formula unit

a b c (Å): 4.2655 4.2655 7.5587
angles (deg): 90.00 90.00 120.00
Space group P-3m1 (No. 164)
Asymmetric unit:
Tb1 0.0000 0.0000 0.0000 x1
Sm1 0.0000 0.0000 0.5000 x1
Cu1 0.3333 0.6667 0.2404 x2
Ge1 0.3333 0.6667 0.7547 x2



Record 5
The following is a DFT calculation (PBE-GGA) of a relaxed Sm2Cu3TcGe4 crystal.

Values from the calculation:
* DFT total energy: -5.507 eV per atom
* E_form: -4.5 eV per formula unit

a b c (Å): 4.1132 4.1132 10.5147
angles (deg): 90.00 90.00 90.00
Space group P-4m2 (No. 115)
Asymmetric unit:
Sm1 0.0000 0.5000 0.2464 x2
Cu1 0.0000 0.5000 0.8661 x2
Cu2 0.5000 0.5000 0.5000 x1
Tc1 0.0000 0.0000 0.5000 x1
Ge1 0.0000 0.0000 0.0000 x1
Ge2 0.0000 0.5000 0.6357 x2
Ge3 0.5000 0.5000 0.0000 x1



Record 6
The following is a DFT calculation (PBE-GGA) of a relaxed SmCuTcGe2 crystal.

Values from the calculation:
* DFT total energy: -6.092 eV per atom
* E_form: -2.0 eV per formula unit

a b c (Å): 4.0864 4.0864 10.8766
angles (deg): 90.00 90.00 90.00
Space group I-4m2 (No. 119)
Asymmetric unit:
Sm1 0.0000 0.0000 0.0000 x2
Cu1 0.0000 0.5000 0.7500 x2
Tc1 0.0000 0.5000 0.2500 x2
Ge1 0.0000 0.0000 0.3785 x4



Record 7
The following is a DFT calculation (PBE-GGA) of a relaxed SmTmCuGe crystal.

Values from the calculation:
* DFT total energy: -4.954 eV per atom
* E_form: -1.9 eV per formula unit

a b c (Å): 7.0603 7.0603 7.0603
angles (deg): 90.00 90.00 90.00
Space group F-43m (No. 216)
Asymmetric unit:
Sm1 0.0000 0.0000 0.0000 x4
Tm1 0.0000 0.0000 0.5000 x4
Cu1 0.2500 0.2500 0.2500 x4
Ge1 0.2500 0.2500 0.7500 x4



Record 8
The following is a DFT calculation (PBE-GGA) of a relaxed SmTm2Cu2Ge2 crystal.

Values from the calculation:
* DFT total energy: -4.925 eV per atom
* E_form: -3.4 eV per formula unit

a b c (Å): 4.2999 4.2999 27.5166
angles (deg): 90.00 90.00 120.00
Space group R-3m (No. 166, hexagonal axes)
Asymmetric unit:
Sm1 0.0000 0.0000 0.0000 x3
Tm1 0.0000 0.0000 0.1274 x6
Cu1 0.0000 0.0000 0.4042 x6
Ge1 0.0000 0.0000 0.2601 x6



Record 9
The following is a DFT calculation (PBE-GGA) of a relaxed SmYCu2Ge2 crystal.

Values from the calculation:
* DFT total energy: -5.457 eV per atom
* E_form: -4.1 eV per formula unit

a b c (Å): 4.2609 4.2609 7.5547
angles (deg): 90.00 90.00 120.00
Space group P-3m1 (No. 164)
Asymmetric unit:
Sm1 0.0000 0.0000 0.0000 x1
Y1 0.0000 0.0000 0.5000 x1
Cu1 0.3333 0.6667 0.7398 x2
Ge1 0.3333 0.6667 0.2547 x2



Record 10
The following is a DFT calculation (PBE-GGA) of a relaxed SmY2Cu2Ge2 crystal.

Values from the calculation:
* DFT total energy: -5.520 eV per atom
* E_form: -3.6 eV per formula unit

a b c (Å): 4.1851 4.1851 31.7808
angles (deg): 90.00 90.00 120.00
Space group R-3m (No. 166, hexagonal axes)
Asymmetric unit:
Sm1 0.0000 0.0000 0.0000 x3
Y1 0.0000 0.0000 0.1208 x6
Cu1 0.0000 0.0000 0.3968 x6
Ge1 0.0000 0.0000 0.2704 x6



Record 11
The following is a DFT calculation (PBE-GGA) of a relaxed SmYCuGe crystal.

Values from the calculation:
* DFT total energy: -5.468 eV per atom
* E_form: -2.0 eV per formula unit

a b c (Å): 7.1185 7.1185 7.1185
angles (deg): 90.00 90.00 90.00
Space group F-43m (No. 216)
Asymmetric unit:
Sm1 0.0000 0.0000 0.0000 x4
Y1 0.0000 0.0000 0.5000 x4
Cu1 0.2500 0.2500 0.7500 x4
Ge1 0.2500 0.2500 0.2500 x4



Record 12
The following is a DFT calculation (PBE-GGA) of a relaxed Sm2Zn3CuGe4 crystal.

Values from the calculation:
* DFT total energy: -3.972 eV per atom
* E_form: -3.9 eV per formula unit

a b c (Å): 4.2927 4.2927 10.3240
angles (deg): 90.00 90.00 90.00
Space group P-4m2 (No. 115)
Asymmetric unit:
Sm1 0.0000 0.5000 0.2471 x2
Zn1 0.0000 0.0000 0.0000 x1
Zn2 0.0000 0.5000 0.6348 x2
Cu1 0.5000 0.5000 0.0000 x1
Ge1 0.0000 0.0000 0.5000 x1
Ge2 0.0000 0.5000 0.8683 x2
Ge3 0.5000 0.5000 0.5000 x1